[1]
# In12SnBi3 (PBE, relaxed)
data_In12SnBi3
_chemical_formula_sum 'In12 Sn1 Bi3'
_cell_length_a 4.919
_cell_length_b 4.919
_cell_length_c 18.928
_cell_angle_alpha 90.00
_cell_angle_beta 90.00
_cell_angle_gamma 90.00
_symmetry_space_group_name_H-M 'P 4/m m m'
_symmetry_Int_Tables_number 123
_symmetry_space_group_name_Hall '-P 4 2'
loop_
_atom_site_label
_atom_site_type_symbol
_atom_site_fract_x
_atom_site_fract_y
_atom_site_fract_z
_atom_site_occupancy
In1 In 0.000 0.000 0.000 1
In2 In 0.000 0.000 0.246 1
In3 In 0.000 0.000 0.500 1
In4 In 0.000 0.500 0.120 1
In5 In 0.000 0.500 0.373 1
Sn1 Sn 0.500 0.500 0.000 1
Bi1 Bi 0.500 0.500 0.245 1
Bi2 Bi 0.500 0.500 0.500 1
# **Crystal system**: tetragonal
# **N(E_F)**: 10.25 states/eV/cell
# **Formation energy from the elements**: 0.024 eV per atom

---

[2]
# Be2HgTe (PBE, relaxed)
data_Be2HgTe
_chemical_formula_sum 'Be4 Hg2 Te2'
_cell_length_a 3.958
_cell_length_b 7.142
_cell_length_c 6.234
_cell_angle_alpha 90.00
_cell_angle_beta 90.00
_cell_angle_gamma 90.00
_symmetry_space_group_name_H-M 'C m m m'
_symmetry_Int_Tables_number 65
_symmetry_space_group_name_Hall '-C 2 2'
loop_
_atom_site_label
_atom_site_type_symbol
_atom_site_fract_x
_atom_site_fract_y
_atom_site_fract_z
_atom_site_occupancy
Be1 Be 0.000 0.000 0.217 1
Hg1 Hg 0.000 0.500 0.000 1
Te1 Te 0.000 0.500 0.500 1
# **Crystal system**: orthorhombic
# **N(E_F)**: 2.91 states/eV/cell
# **Raw formation energy**: 2.42 eV per formula unit
# **Excess energy over the best structure of this formula in the dataset**: 268 meV per atom

---

[3]
# TmThTc (PBE, relaxed)
data_TmThTc
_chemical_formula_sum 'Tm4 Th4 Tc4'
_cell_length_a 6.852
_cell_length_b 6.852
_cell_length_c 6.852
_cell_angle_alpha 90.00
_cell_angle_beta 90.00
_cell_angle_gamma 90.00
_symmetry_space_group_name_H-M 'F -4 3 m'
_symmetry_Int_Tables_number 216
_symmetry_space_group_name_Hall 'F -4 2 3'
loop_
_atom_site_label
_atom_site_type_symbol
_atom_site_fract_x
_atom_site_fract_y
_atom_site_fract_z
_atom_site_occupancy
Tm1 Tm 0.000 0.000 0.000 1
Th1 Th 0.000 0.000 0.500 1
Tc1 Tc 0.250 0.250 0.750 1
# **Crystal system**: cubic
# **N(E_F)**: 11.99 states/eV/cell
# **Formation energy from the elements**: -0.026 eV per atom
# **Excess energy over the best structure of this formula in the dataset**: 93 meV per atom

---

[4]
# RbGa2NCl (PBE, relaxed)
data_RbGa2NCl
_chemical_formula_sum 'Rb1 Ga2 N1 Cl1'
_cell_length_a 5.361
_cell_length_b 5.361
_cell_length_c 4.633
_cell_angle_alpha 90.00
_cell_angle_beta 90.00
_cell_angle_gamma 90.00
_symmetry_space_group_name_H-M 'P 4/m m m'
_symmetry_Int_Tables_number 123
_symmetry_space_group_name_Hall '-P 4 2'
loop_
_atom_site_label
_atom_site_type_symbol
_atom_site_fract_x
_atom_site_fract_y
_atom_site_fract_z
_atom_site_occupancy
Rb1 Rb 0.000 0.000 0.000 1
Ga1 Ga 0.000 0.500 0.500 1
N1 N 0.500 0.500 0.000 1
Cl1 Cl 0.500 0.500 0.500 1
# **Crystal system**: tetragonal
# **N(E_F)**: 3.95 states/eV/cell
# **Raw formation energy**: 4.46 eV per formula unit

---

[5]
# Li2ZnTc (PBE, relaxed)
data_Li2ZnTc
_chemical_formula_sum 'Li2 Zn1 Tc1'
_cell_length_a 4.611
_cell_length_b 4.611
_cell_length_c 2.536
_cell_angle_alpha 90.00
_cell_angle_beta 90.00
_cell_angle_gamma 90.00
_symmetry_space_group_name_H-M 'P 4/m m m'
_symmetry_Int_Tables_number 123
_symmetry_space_group_name_Hall '-P 4 2'
loop_
_atom_site_label
_atom_site_type_symbol
_atom_site_fract_x
_atom_site_fract_y
_atom_site_fract_z
_atom_site_occupancy
Li1 Li 0.000 0.500 0.000 1
Zn1 Zn 0.000 0.000 0.500 1
Tc1 Tc 0.500 0.500 0.500 1
# **Crystal system**: tetragonal
# **N(E_F)**: 2.77 states/eV/cell
# **Formation energy from the elements**: 0.296 eV per atom

---

[6]
# UAg2Sn2S6 (PBE, relaxed)
data_UAg2Sn2S6
_chemical_formula_sum 'U2 Ag4 Sn4 S12'
_cell_length_a 7.263
_cell_length_b 12.341
_cell_length_c 6.377
_cell_angle_alpha 90.00
_cell_angle_beta 101.45
_cell_angle_gamma 90.00
_symmetry_space_group_name_H-M 'C 1 2/m 1'
_symmetry_Int_Tables_number 12
_symmetry_space_group_name_Hall '-C 2y'
loop_
_atom_site_label
_atom_site_type_symbol
_atom_site_fract_x
_atom_site_fract_y
_atom_site_fract_z
_atom_site_occupancy
U1 U 0.000 0.000 0.000 1
Ag1 Ag 0.000 0.120 0.500 1
Sn1 Sn 0.000 0.326 0.000 1
S1 S 0.193 0.156 0.222 1
S2 S 0.244 0.500 0.223 1
# **Crystal system**: monoclinic
# **Raw formation energy**: -6.70 eV per formula unit

---

[7]
# Tb3TcHg (PBE, relaxed)
data_Tb3TcHg
_chemical_formula_sum 'Tb12 Tc4 Hg4'
_cell_length_a 12.864
_cell_length_b 5.370
_cell_length_c 8.440
_cell_angle_alpha 90.00
_cell_angle_beta 115.95
_cell_angle_gamma 90.00
_symmetry_space_group_name_H-M 'C 1 2/m 1'
_symmetry_Int_Tables_number 12
_symmetry_space_group_name_Hall '-C 2y'
loop_
_atom_site_label
_atom_site_type_symbol
_atom_site_fract_x
_atom_site_fract_y
_atom_site_fract_z
_atom_site_occupancy
Tb1 Tb 0.083 0.000 0.236 1
Tb2 Tb 0.084 0.500 0.869 1
Tb3 Tb 0.209 0.000 0.719 1
Tc1 Tc 0.183 0.000 0.022 1
Hg1 Hg 0.130 0.500 0.504 1
# **Crystal system**: monoclinic
# **N(E_F)**: 16.96 states/eV/cell
# **Formation energy from the elements**: -0.154 eV per atom
# **Excess energy over the best structure of this formula in the dataset**: 72 meV per atom

---

[8]
# LaMn2 (PBE, relaxed)
data_LaMn2
_chemical_formula_sum 'La2 Mn4'
_cell_length_a 2.978
_cell_length_b 2.978
_cell_length_c 11.571
_cell_angle_alpha 90.00
_cell_angle_beta 90.00
_cell_angle_gamma 90.00
_symmetry_space_group_name_H-M 'I 4/m m m'
_symmetry_Int_Tables_number 139
_symmetry_space_group_name_Hall '-I 4 2'
loop_
_atom_site_label
_atom_site_type_symbol
_atom_site_fract_x
_atom_site_fract_y
_atom_site_fract_z
_atom_site_occupancy
La1 La 0.000 0.000 0.000 1
Mn1 Mn 0.000 0.000 0.292 1
# **Crystal system**: tetragonal
# **N(E_F)**: 7.05 states/eV/cell
# **Formation energy from the elements**: 0.406 eV per atom

---

[9]
# SnP3S (PBE, relaxed)
data_SnP3S
_chemical_formula_sum 'Sn1 P3 S1'
_cell_length_a 5.016
_cell_length_b 5.016
_cell_length_c 5.016
_cell_angle_alpha 90.00
_cell_angle_beta 90.00
_cell_angle_gamma 90.00
_symmetry_space_group_name_H-M 'P m -3 m'
_symmetry_Int_Tables_number 221
_symmetry_space_group_name_Hall '-P 4 2 3'
loop_
_atom_site_label
_atom_site_type_symbol
_atom_site_fract_x
_atom_site_fract_y
_atom_site_fract_z
_atom_site_occupancy
Sn1 Sn 0.000 0.000 0.000 1
P1 P 0.000 0.000 0.500 1
S1 S 0.500 0.500 0.500 1
# **Crystal system**: cubic
# **N(E_F)**: 5.90 states/eV/cell
# **Raw formation energy**: 7.61 eV per formula unit
# **Excess energy over the best structure of this formula in the dataset**: 783 meV per atom

---

[10]
# BaLaBi (PBE, relaxed)
data_BaLaBi
_chemical_formula_sum 'Ba4 La4 Bi4'
_cell_length_a 5.048
_cell_length_b 5.048
_cell_length_c 19.072
_cell_angle_alpha 90.00
_cell_angle_beta 90.00
_cell_angle_gamma 90.00
_symmetry_space_group_name_H-M 'I 4/m m m'
_symmetry_Int_Tables_number 139
_symmetry_space_group_name_Hall '-I 4 2'
loop_
_atom_site_label
_atom_site_type_symbol
_atom_site_fract_x
_atom_site_fract_y
_atom_site_fract_z
_atom_site_occupancy
Ba1 Ba 0.000 0.000 0.177 1
La1 La 0.000 0.500 0.000 1
Bi1 Bi 0.000 0.000 0.373 1
# **Crystal system**: tetragonal
# **N(E_F)**: 13.54 states/eV/cell
# **Formation energy from the elements**: -0.761 eV per atom

---

[11]
# AcAgC2O8 (PBE, relaxed)
data_AcAgC2O8
_chemical_formula_sum 'Ac2 Ag2 C4 O16'
_cell_length_a 10.743
_cell_length_b 5.277
_cell_length_c 6.177
_cell_angle_alpha 90.00
_cell_angle_beta 113.34
_cell_angle_gamma 90.00
_symmetry_space_group_name_H-M 'C 1 2/m 1'
_symmetry_Int_Tables_number 12
_symmetry_space_group_name_Hall '-C 2y'
loop_
_atom_site_label
_atom_site_type_symbol
_atom_site_fract_x
_atom_site_fract_y
_atom_site_fract_z
_atom_site_occupancy
Ac1 Ac 0.000 0.000 0.000 1
Ag1 Ag 0.000 0.500 0.500 1
C1 C 0.140 0.000 0.631 1
O1 O 0.058 0.500 0.099 1
O2 O 0.129 0.208 0.741 1
O3 O 0.152 0.000 0.436 1
# **Crystal system**: monoclinic
# **N(E_F)**: 3.34 states/eV/cell
# **Raw formation energy**: -16.98 eV per formula unit

---

[12]
# BeHg2Os (PBE, relaxed)
data_BeHg2Os
_chemical_formula_sum 'Be2 Hg4 Os2'
_cell_length_a 2.988
_cell_length_b 3.415
_cell_length_c 14.084
_cell_angle_alpha 90.00
_cell_angle_beta 90.00
_cell_angle_gamma 90.00
_symmetry_space_group_name_H-M 'I m m m'
_symmetry_Int_Tables_number 71
_symmetry_space_group_name_Hall '-I 2 2'
loop_
_atom_site_label
_atom_site_type_symbol
_atom_site_fract_x
_atom_site_fract_y
_atom_site_fract_z
_atom_site_occupancy
Be1 Be 0.000 0.000 0.000 1
Hg1 Hg 0.000 0.500 0.171 1
Os1 Os 0.000 0.000 0.500 1
# **Crystal system**: orthorhombic
# **N(E_F)**: 4.97 states/eV/cell
# **Formation energy from the elements**: 0.416 eV per atom